An optimized crystal structure of CrC4. Source: Alexandria, functional PBE.

Summary:
total energy = -8.3875 eV/atom
ΔE to the lowest computed polymorph = 0.407 eV/atom
formation energy from the elements = 916 meV per atom

```
data_CrC4
_chemical_formula_sum 'Cr2 C8'
_space_group_name_H-M_alt 'I 4/m m m'
_space_group_IT_number 139
_space_group_name_Hall '-I 4 2'
_cell_length_a 6.1648
_cell_length_b 6.1648
_cell_length_c 2.5378
_cell_angle_alpha 90.00
_cell_angle_beta 90.00
_cell_angle_gamma 90.00
loop_
_atom_site_label
_atom_site_type_symbol
_atom_site_fract_x
_atom_site_fract_y
_atom_site_fract_z
Cr1 Cr 0.0000 0.0000 0.0000
C1 C 0.2206 0.2206 0.5000
```

***

An optimized crystal structure of CrC8. Source: Alexandria, functional PBE.

Summary:
total energy = -6.3148 eV/atom
formation energy from the elements = 2953 meV per atom

```
data_CrC8
_chemical_formula_sum 'Cr2 C16'
_space_group_name_H-M_alt 'I 4/m m m'
_space_group_IT_number 139
_space_group_name_Hall '-I 4 2'
_cell_length_a 9.9697
_cell_length_b 9.9697
_cell_length_c 2.4124
_cell_angle_alpha 90.00
_cell_angle_beta 90.00
_cell_angle_gamma 90.00
loop_
_atom_site_label
_atom_site_type_symbol
_atom_site_fract_x
_atom_site_fract_y
_atom_site_fract_z
Cr1 Cr 0.0000 0.0000 0.0000
C1 C 0.0000 0.1928 0.0000
C2 C 0.1209 0.1209 0.5000
```

***

An optimized crystal structure of Cr4C. Source: Alexandria, functional PBE.

Summary:
total energy = -8.4798 eV/atom
ΔE to the lowest computed polymorph = 0.893 eV/atom
formation energy from the elements = 1064 meV per atom

```
data_Cr4C
_chemical_formula_sum 'Cr8 C2'
_space_group_name_H-M_alt 'I 4/m m m'
_space_group_IT_number 139
_space_group_name_Hall '-I 4 2'
_cell_length_a 2.9263
_cell_length_b 2.9263
_cell_length_c 13.3587
_cell_angle_alpha 90.00
_cell_angle_beta 90.00
_cell_angle_gamma 90.00
loop_
_atom_site_label
_atom_site_type_symbol
_atom_site_fract_x
_atom_site_fract_y
_atom_site_fract_z
Cr1 Cr 0.0000 0.0000 0.0804
Cr2 Cr 0.0000 0.5000 0.2500
C1 C 0.0000 0.0000 0.5000
```

***

An optimized crystal structure of CrC. Source: Alexandria, functional PBE.

Summary:
total energy = -9.4441 eV/atom
formation energy from the elements = -20 meV per atom

```
data_CrC
_chemical_formula_sum 'Cr1 C1'
_space_group_name_H-M_alt 'P -6 m 2'
_space_group_IT_number 187
_space_group_name_Hall 'P -6 2'
_cell_length_a 2.7066
_cell_length_b 2.7066
_cell_length_c 2.6232
_cell_angle_alpha 90.00
_cell_angle_beta 90.00
_cell_angle_gamma 120.00
loop_
_atom_site_label
_atom_site_type_symbol
_atom_site_fract_x
_atom_site_fract_y
_atom_site_fract_z
Cr1 Cr 0.0000 0.0000 0.0000
C1 C 0.3333 0.6667 0.5000
```

***

An optimized crystal structure of Cr3C2. Source: Alexandria, functional PBE.

Summary:
total energy = -9.4984 eV/atom
ΔE to the lowest computed polymorph = 0.084 eV/atom
formation energy from the elements = -35 meV per atom

```
data_Cr3C2
_chemical_formula_sum 'Cr18 C12'
_space_group_name_H-M_alt 'R -3 c'
_space_group_IT_number 167
_space_group_name_Hall '-R 3 2"c'
_cell_length_a 4.8898
_cell_length_b 4.8898
_cell_length_c 13.7384
_cell_angle_alpha 90.00
_cell_angle_beta 90.00
_cell_angle_gamma 120.00
loop_
_atom_site_label
_atom_site_type_symbol
_atom_site_fract_x
_atom_site_fract_y
_atom_site_fract_z
Cr1 Cr 0.0000 0.3157 0.2500
C1 C 0.0000 0.0000 0.1559
```

***

An optimized crystal structure of CrC4. Source: Alexandria, functional PBE.

Summary:
total energy = -6.8787 eV/atom
ΔE to the lowest computed polymorph = 1.916 eV/atom
formation energy from the elements = 2425 meV per atom

```
data_CrC4
_chemical_formula_sum 'Cr2 C8'
_space_group_name_H-M_alt 'I m -3 m'
_space_group_IT_number 229
_space_group_name_Hall '-I 4 2 3'
_cell_length_a 4.4399
_cell_length_b 4.4399
_cell_length_c 4.4399
_cell_angle_alpha 90.00
_cell_angle_beta 90.00
_cell_angle_gamma 90.00
loop_
_atom_site_label
_atom_site_type_symbol
_atom_site_fract_x
_atom_site_fract_y
_atom_site_fract_z
Cr1 Cr 0.0000 0.0000 0.0000
C1 C 0.2500 0.2500 0.2500
```

***

Question: What is the total energy in the first record?
Answer: -8.3875 eV/atom